(1)
The following is a GGA-PBE calculation of Tb2Ho3Os2 after structural relaxation, from Alexandria.

The structure in POSCAR format:
```
Tb2Ho3Os2
1.0
3.961 0.000 0.000
-1.980 5.938 -0.187
0.000 -2.989 7.748
Tb Ho Os
2 3 2
Direct
0.836 0.671 0.187
0.164 0.329 0.813
0.500 0.000 0.000
0.625 0.251 0.430
0.375 0.749 0.570
0.823 0.646 0.784
0.177 0.354 0.216
```

Summary:
The formation energy is -0.249 eV/atom.

---

(2)
The following is a GGA-PBE calculation of Ho2Tc3Os after structural relaxation, from Alexandria.

The structure in POSCAR format:
```
Ho2Tc3Os
1.0
4.678 -0.124 -2.437
-2.973 4.352 -0.248
-0.094 0.200 5.468
Ho Tc Os
2 3 1
Direct
0.749 0.374 0.123
0.251 0.626 0.877
0.500 0.500 0.500
0.000 0.000 0.500
0.500 0.000 0.500
0.000 0.000 0.000
```

Summary:
The formation energy is -0.211 eV/atom.

---

(3)
The following is a GGA-PBE calculation of Ho2TcOs2 after structural relaxation, from Alexandria.

The structure in POSCAR format:
```
Ho2TcOs2
1.0
4.105 0.000 0.000
0.000 5.530 0.000
-2.053 -2.765 4.485
Ho Tc Os
2 1 2
Direct
0.794 0.294 0.589
0.206 0.706 0.411
0.000 0.000 0.000
0.500 0.725 0.000
0.500 0.275 0.000
```

Summary:
The formation energy is -0.237 eV/atom.

---

(4)
The following is a GGA-PBE calculation of Ho2TcOs3 after structural relaxation, from Alexandria.

The structure in POSCAR format:
```
Ho2TcOs3
1.0
-2.671 4.255 -1.922
-1.972 -2.749 4.181
4.325 5.172 5.441
Ho Tc Os
4 2 6
Direct
0.667 0.333 0.434
0.333 0.667 0.566
0.333 0.667 0.934
0.667 0.333 0.066
0.000 0.000 0.500
0.000 0.000 0.000
0.173 0.346 0.250
0.346 0.173 0.750
0.827 0.654 0.750
0.173 0.827 0.250
0.827 0.173 0.750
0.654 0.827 0.250
```

Summary:
The formation energy is -0.304 eV/atom.

---

(5)
The following is a GGA-PBE calculation of HoUTcOs after structural relaxation, from Alexandria.

The structure in POSCAR format:
```
HoUTcOs
1.0
4.800 0.000 0.000
2.400 4.157 0.000
2.400 1.386 3.919
Os U Ho Tc
1 1 1 1
Direct
0.250 0.250 0.250
0.500 0.500 0.500
0.000 0.000 0.000
0.750 0.750 0.750
```

Summary:
The formation energy is -0.034 eV/atom.

---

(6)
The following is a GGA-PBE calculation of Ho2TeOs after structural relaxation, from Alexandria.

The structure in POSCAR format:
```
Ho2TeOs
1.0
-1.771 2.247 -2.085
-2.420 0.453 2.544
3.968 5.690 2.761
Te Os Ho
1 1 2
Direct
0.500 0.500 0.500
0.500 0.500 0.000
0.000 0.000 0.780
0.000 0.000 0.220
```

Summary:
The value obtained for the uncorrected formation energy is -0.611 eV/atom.

---

In the order shown, the computed total magnetic moment values come out to 0.00, 0.00, 0.00, 0.00, 1.17, 0.00 μB/f.u..